VASP calculation (PBE) on an optimized crystal structure of Ca2MgTc.

Unit cell a=5.330 b=5.330 c=3.521 alpha=90.00 beta=90.00 gamma=90.00
Sites, in units of the cell vectors:
Mg1 0.500 0.000 0.500
Ca1 0.000 0.000 0.000
Tc1 0.000 0.500 0.500
Ca2 0.500 0.500 0.000

Computed properties:
V, Å³ per cell: 100.1
E_form, eV/f.u.: 2.1

=====

VASP calculation (PBE) on an optimized crystal structure of CdTc2Cl.

Unit cell a=4.938 b=3.155 c=4.650 alpha=93.64 beta=90.00 gamma=90.00
Sites, in units of the cell vectors:
Cd1 0.500 0.250 0.250
Cl1 0.500 0.750 0.750
Tc1 0.000 0.921 0.034
Tc2 0.000 0.579 0.466

Computed properties:
Raw formation energy, eV/atom: 0.697
ΔE to the lowest computed polymorph, kJ per mole of atoms: 68.5
V, Å³ per cell: 72.3

=====

VASP calculation (PBE) on an optimized crystal structure of ZnTe2AuI.

Unit cell a=5.326 b=5.326 c=5.462 alpha=90.00 beta=90.00 gamma=90.00
Sites, in units of the cell vectors:
Au1 0.500 0.500 0.500
Zn1 0.000 0.000 0.000
I1 0.000 0.000 0.500
Te1 0.000 0.500 0.000
Te2 0.500 0.000 0.000

Computed properties:
Raw formation energy, eV/atom: 0.602
ΔE to the lowest computed polymorph, kJ per mole of atoms: 9.0
V, Å³ per cell: 154.9

=====

VASP calculation (PBE) on an optimized crystal structure of CuIrAu.

Unit cell a=2.785 b=2.785 c=11.570 alpha=90.00 beta=90.00 gamma=90.00
Sites, in units of the cell vectors:
Au1 0.000 0.500 0.900
Au2 0.500 0.000 0.100
Ir1 0.000 0.500 0.577
Cu1 0.000 0.500 0.265
Cu2 0.500 0.000 0.735
Ir2 0.500 0.000 0.423

Computed properties:
ΔE to the lowest computed polymorph, kJ per mole of atoms: 0.0
V, Å³ per cell: 89.8
E_form, eV/f.u.: 0.1